A plane-wave DFT calculation with PBE was carried out for a geometry-optimized SrZn3Ir structure.

abc: 4.8485 4.8485 4.8485
angles: 90.00 90.00 90.00
Fractional positions:
Ir 0.0000 0.0000 0.0000
Sr 0.5000 0.5000 0.5000
Zn 0.5000 0.0000 0.0000
Zn 0.0000 0.5000 0.0000
Zn 0.0000 0.0000 0.5000

Summary:
**E above lowest polymorph**: 0.046 eV per atom

A plane-wave DFT calculation with PBE was carried out for a geometry-optimized Sr2ZnIr structure.

abc: 5.0971 5.0971 5.0971
angles: 60.00 60.00 60.00
Fractional positions:
Ir 0.5000 0.5000 0.5000
Sr 0.0000 0.0000 0.0000
Sr 0.2500 0.2500 0.2500
Zn 0.7500 0.7500 0.7500

Electronic total energy? In order: -15.80, -12.94 eV/cell.